(1)
Crystalline Cs2PaBi2S6 at its relaxed geometry, computed with PBE.

Values from the calculation:
Its formation energy (no corrections) is -1.033 eV/atom. Its total energy is -0.36814 Ry per atom. The crystal system is monoclinic.

Cell: 7.1637 7.1637 8.6327 Å, 98.32 98.32 119.73°
Last column: nearest neighbours and their distance in Å.
Element x y z (fractional)
Cs1 0.1707 0.8293 0.0000  6 S 3.53-3.56
Cs2 0.8293 0.1707 0.0000  6 S 3.53-3.56
Pa1 0.0000 0.0000 0.5000  6 S 2.73-2.75
Bi1 0.3328 0.6672 0.5000  6 S 2.84-2.88
Bi2 0.6672 0.3328 0.5000  6 S 2.84-2.88
S1 0.0609 0.3841 0.6814  1 Pa 2.75, 2 Bi 2.84-2.87
S2 0.2547 0.2547 0.3182  1 Pa 2.73, 2 Bi 2.88
S3 0.3841 0.0609 0.6814  1 Pa 2.75, 2 Bi 2.84-2.87
S4 0.6159 0.9391 0.3186  1 Pa 2.75, 2 Bi 2.84-2.87
S5 0.7453 0.7453 0.6818  1 Pa 2.73, 2 Bi 2.88
S6 0.9391 0.6159 0.3186  1 Pa 2.75, 2 Bi 2.84-2.87

=====

(2)
Crystalline HfMnSb2Te at its relaxed geometry, computed with PBE.

Values from the calculation:
Its formation energy (no corrections) is 0.531 eV/atom. Its total energy is -0.40949 Ry per atom. The crystal system is tetragonal.

Cell: 5.5363 5.5363 5.4871 Å, 90.00 90.00 90.00°
Last column: nearest neighbours and their distance in Å.
Element x y z (fractional)
Hf1 0.0000 0.0000 0.0000  2 Te 2.74, 4 Sb 2.77
Mn1 0.5000 0.5000 0.5000  8 Sb 3.90, 4 Te 3.91
Sb1 0.0000 0.5000 0.0000  2 Hf 2.77
Sb2 0.5000 0.0000 0.0000  2 Hf 2.77
Te1 0.0000 0.0000 0.5000  2 Hf 2.74

=====

(3)
Crystalline Ce3Al at its relaxed geometry, computed with PBE.

Values from the calculation:
The calculation puts the formation energy at -0.161 eV/atom. Its total energy is -0.40773 Ry per atom. The crystal system is monoclinic.

Cell: 6.6512 5.2041 11.8144 Å, 90.00 90.08 90.00°
Last column: nearest neighbours and their distance in Å.
Element x y z (fractional)
Ce1 0.0004 0.2500 0.2004  2 Ce 2.83-2.84, 2 Al 3.09
Ce2 0.9996 0.7500 0.7996  2 Ce 2.83-2.84, 2 Al 3.09
Ce3 0.2393 0.7500 0.6009  1 Ce 2.84, 2 Al 3.12
Ce4 0.2415 0.2500 0.3984  1 Ce 2.83, 2 Al 3.13
Ce5 0.2768 0.2500 0.9261  3 Ce 2.97-3.13, 3 Al 3.20-3.23
Ce6 0.2770 0.7500 0.0738  3 Ce 2.97-3.13, 3 Al 3.20-3.23
Ce7 0.4983 0.7500 0.3268  4 Al 3.20-3.34, 6 Ce 3.23-3.34
Ce8 0.5017 0.2500 0.6732  4 Al 3.20-3.34, 6 Ce 3.23-3.34
Ce9 0.7230 0.2500 0.9262  3 Ce 2.97-3.13, 3 Al 3.20-3.23
Ce10 0.7232 0.7500 0.0739  3 Ce 2.97-3.13, 3 Al 3.20-3.23
Ce11 0.7585 0.7500 0.6016  1 Ce 2.83, 2 Al 3.13
Ce12 0.7607 0.2500 0.3991  1 Ce 2.84, 2 Al 3.12
Al1 0.0005 0.2500 0.6585  9 Ce 3.09-3.45
Al2 0.9995 0.7500 0.3415  9 Ce 3.09-3.45
Al3 0.4994 0.7500 0.8314  12 Ce 3.20-3.35
Al4 0.5006 0.2500 0.1686  12 Ce 3.20-3.35